A plane-wave DFT calculation with GGA-PBE was carried out for KCr2Ir after structural relaxation.

Results
Energy above the most stable polymorph in this dataset ... 0.100 eV/atom
M_tot ... 0.00 μB/f.u.
Mass density ... 6.57 Mg/m³

Lattice parameters (Å, degrees): 9.1438 2.9007 6.4148 90.00 95.27 90.00
With the nearest neighbours (Å) after each atom.
Space group C2/m (No. 12)
One atom of each set of equivalent atoms:
K 0.0000 0.0000 0.0000 x2  2 K 2.90
Cr 0.2227 0.0000 0.6079 x4  2 Cr 2.10
Ir 0.0000 0.5000 0.5000 x2  6 Cr 2.54-2.69